## Rb2LaCo3F12 (PBE with a Hubbard U)

Data for an optimized crystal structure of Rb2LaCo3F12.

extended XYZ file:
```
18
Lattice="-3.1700 4.3951 4.7177 -1.8138 -2.9396 6.3002 3.9949 1.9560 5.6424" Properties=species:S:1:pos:R:3 pbc="T T T"
Rb -0.3842 1.3256 6.4734
F -0.9948 -0.9970 5.0784
F -1.4067 -0.9106 8.4975
F -3.2224 1.2542 8.5750
Co 1.9975 0.9780 2.8212
F -2.2566 3.6859 7.5058
F 0.6591 0.8763 12.3439
F 0.4179 4.3222 8.1628
Co -0.9069 -1.4698 3.1501
La 0.0000 0.0000 0.0000
F 0.0060 4.4085 11.5819
F -1.6479 2.5352 4.3164
Rb -0.6046 2.0860 10.1869
F -2.7913 2.0509 11.8986
F 1.8025 1.3606 4.7617
F 1.2678 -0.2744 9.1545
Co -1.5850 2.1975 2.3589
F 2.2336 2.1574 8.0853
```

Properties
VASP energy ... -5.17 eV/atom
M_tot ... 0.556 μB per atom